Compound: NbTlP2O8
Source: the Alexandria database
Functional: PBEsol
Structure: optimized geometry

Results
DOS at the Fermi energy: 0.000 states/eV per atom
V: 15.32 A^3/atom
DFT total energy: -372.23 eV for the cell shown

abc: 5.094 12.923 11.959
angles: 90.00 110.95 90.00
Space group P2_1/c (No. 14)
Asymmetric unit:
Nb 0.093 0.073 0.296 x4
Tl 0.247 0.113 0.975 x4
P 0.310 0.087 0.614 x4
P 0.420 0.749 0.709 x4
O 0.047 0.052 0.144 x4
O 0.131 0.100 0.484 x4
O 0.149 0.050 0.694 x4
O 0.244 0.665 0.238 x4
O 0.264 0.668 0.623 x4
O 0.343 0.199 0.324 x4
O 0.420 0.201 0.658 x4
O 0.433 0.518 0.866 x4

=====

Compound: NbV3P6O24
Source: the Alexandria database
Functional: PBEsol
Structure: optimized geometry

Results
DOS at the Fermi energy: 0.376 states/eV per atom
V: 13.34 A^3/atom
DFT total energy: -834.09 eV for the cell shown

abc: 8.5029 8.5029 21.7341
angles: 90.00 90.00 120.00
Space group R3 (No. 146, hexagonal axes)
Asymmetric unit:
Nb 0.0000 0.0000 0.0000 x3
V 0.0000 0.0000 0.2813 x3
V 0.0000 0.0000 0.4994 x3
V 0.0000 0.0000 0.7814 x3
P 0.0024 0.2873 0.8882 x9
P 0.0131 0.7307 0.3905 x9
O 0.0138 0.1884 0.5471 x9
O 0.0294 0.1962 0.8317 x9
O 0.0383 0.8284 0.0485 x9
O 0.0467 0.8468 0.3330 x9
O 0.1625 0.6826 0.1152 x9
O 0.1684 0.4626 0.6120 x9
O 0.1728 0.6971 0.3982 x9
O 0.1775 0.4689 0.8989 x9

=====

Compound: Nb3VP6O24
Source: the Alexandria database
Functional: PBEsol
Structure: optimized geometry

Results
DOS at the Fermi energy: 0.320 states/eV per atom
V: 14.32 A^3/atom
DFT total energy: -849.25 eV for the cell shown

abc: 8.6951 8.6951 22.3098
angles: 90.00 90.00 120.00
Space group R3 (No. 146, hexagonal axes)
Asymmetric unit:
Nb 0.0000 0.0000 0.0000 x3
Nb 0.0000 0.0000 0.2164 x3
Nb 0.0000 0.0000 0.7176 x3
V 0.0000 0.0000 0.5010 x3
P 0.0029 0.2782 0.6061 x9
P 0.0086 0.7186 0.1088 x9
O 0.0254 0.8255 0.7659 x9
O 0.0281 0.8314 0.0527 x9
O 0.0349 0.2049 0.2645 x9
O 0.0416 0.2014 0.5516 x9
O 0.1618 0.4673 0.6174 x9
O 0.1651 0.4705 0.3302 x9
O 0.1678 0.6999 0.8300 x9
O 0.1727 0.7049 0.1170 x9

=====

Compound: NbP2WO
Source: the Alexandria database
Functional: PBEsol
Structure: optimized geometry

Results
DOS at the Fermi energy: 0.989 states/eV per atom
V: 16.60 A^3/atom
DFT total energy: -41.74 eV for the cell shown

abc: 4.756 4.756 3.669
angles: 90.00 90.00 90.00
Space group P4/mmm (No. 123)
Asymmetric unit:
Nb 0.000 0.000 0.000 x1
P 0.000 0.500 0.500 x2
W 0.500 0.500 0.500 x1
O 0.500 0.500 0.000 x1

=====

Compound: NbZnPO2
Source: the Alexandria database
Functional: PBEsol
Structure: optimized geometry

Results
DOS at the Fermi energy: 0.159 states/eV per atom
V: 15.65 A^3/atom
DFT total energy: -34.68 eV for the cell shown

abc: 3.854 3.854 5.268
angles: 90.00 90.00 90.00
Space group P4/mmm (No. 123)
Asymmetric unit:
Nb 0.000 0.000 0.000 x1
Zn 0.500 0.500 0.500 x1
P 0.000 0.000 0.500 x1
O 0.000 0.500 0.000 x2

=====

Compound: Nb8Pb6O25
Source: the Alexandria database
Functional: PBEsol
Structure: optimized geometry

Results
DOS at the Fermi energy: 0.003 states/eV per atom
V: 15.31 A^3/atom
DFT total energy: -651.50 eV for the cell shown

abc: 10.573 10.715 10.542
angles: 90.00 90.08 90.00
Space group C2 (No. 5)
Asymmetric unit:
Nb 0.119 0.000 0.376 x4
Nb 0.127 0.752 0.127 x4
Nb 0.129 0.252 0.627 x4
Nb 0.129 0.503 0.881 x4
Pb 0.106 0.244 0.110 x4
Pb 0.124 0.748 0.629 x4
Pb 0.131 0.503 0.365 x4
O 0.000 0.304 0.500 x2
O 0.000 0.429 0.000 x2
O 0.000 0.613 0.198 x4
O 0.000 0.623 0.500 x2
O 0.000 0.790 0.000 x2
O 0.000 0.918 0.500 x2
O 0.002 0.120 0.316 x4
O 0.060 0.363 0.753 x4
O 0.060 0.863 0.255 x4
O 0.191 0.618 0.000 x4
O 0.195 0.114 0.501 x4
O 0.242 0.675 0.259 x4
O 0.243 0.360 0.935 x4
O 0.249 0.049 0.251 x4
O 0.249 0.867 0.447 x4

=====

Compound: Nb2Pb2O7
Source: the Alexandria database
Functional: PBEsol
Structure: optimized geometry

Results
V: 14.09 A^3/atom
DFT total energy: -710.99 eV for the cell shown

abc: 10.742 10.742 10.742
angles: 90.00 90.00 90.00
Space group Fd-3m (No. 227, origin choice 2)
Asymmetric unit:
Nb 0.000 0.000 0.000 x16
Pb 0.000 0.000 0.500 x16
O 0.062 0.375 0.375 x48
O 0.125 0.125 0.625 x8

=====

Compound: Nb4Pb3O13
Source: the Alexandria database
Functional: PBEsol
Structure: optimized geometry

Results
DOS at the Fermi energy: 0.000 states/eV per atom
V: 15.11 A^3/atom
DFT total energy: -500.73 eV for the cell shown

abc: 7.5165 7.5165 18.5270
angles: 90.00 90.00 120.00
Space group R3m (No. 160, hexagonal axes)
Asymmetric unit:
Nb 0.0000 0.0000 0.0000 x3
Nb 0.1676 0.3352 0.8341 x9
Pb 0.0084 0.5042 0.9920 x9
O 0.0000 0.0000 0.3553 x3
O 0.0741 0.5371 0.6143 x9
O 0.0866 0.5433 0.8649 x9
O 0.2091 0.4183 0.7351 x9
O 0.2122 0.4244 0.4893 x9

=====

Compound: Nb6Pb10O25
Source: the Alexandria database
Functional: PBEsol
Structure: optimized geometry

Results
DOS at the Fermi energy: 0.004 states/eV per atom
V: 15.31 A^3/atom
DFT total energy: -310.93 eV for the cell shown

abc: 7.581 7.579 10.928
angles: 90.00 90.88 90.00
Space group Pm (No. 6)
Asymmetric unit:
Nb 0.000 0.000 0.000 x1
Nb 0.251 0.254 0.753 x2
Nb 0.503 0.500 0.502 x1
Nb 0.765 0.243 0.254 x2
Pb 0.021 0.500 0.996 x1
Pb 0.037 0.000 0.508 x1
Pb 0.247 0.235 0.262 x2
Pb 0.494 0.000 0.010 x1
Pb 0.499 0.500 0.996 x1
Pb 0.519 0.000 0.484 x1
Pb 0.744 0.256 0.753 x2
Pb 0.977 0.500 0.499 x1
O 0.038 0.290 0.661 x2
O 0.073 0.195 0.899 x2
O 0.239 0.000 0.102 x1
O 0.246 0.500 0.831 x1
O 0.258 0.000 0.721 x1
O 0.277 0.500 0.424 x1
O 0.411 0.305 0.625 x2
O 0.451 0.219 0.884 x2
O 0.565 0.213 0.141 x2
O 0.604 0.310 0.405 x2
O 0.701 0.500 0.630 x1
O 0.707 0.000 0.318 x1
O 0.761 0.000 0.942 x1
O 0.764 0.500 0.889 x1
O 0.783 0.500 0.234 x1
O 0.936 0.193 0.129 x2
O 0.979 0.223 0.368 x2

=====

Compound: Nb4Pb3O13
Source: the Alexandria database
Functional: PBEsol
Structure: optimized geometry

Results
DOS at the Fermi energy: 0.000 states/eV per atom
V: 14.95 A^3/atom
DFT total energy: -334.32 eV for the cell shown

abc: 7.507 7.499 10.623
angles: 90.00 90.00 90.00
Space group Pmma (No. 51)
Asymmetric unit:
Nb 0.000 0.000 0.000 x2
Nb 0.000 0.500 0.500 x2
Nb 0.250 0.249 0.252 x4
Pb 0.000 0.500 0.000 x2
Pb 0.250 0.249 0.738 x4
O 0.056 0.193 0.125 x8
O 0.060 0.316 0.372 x8
O 0.250 0.000 0.299 x2
O 0.250 0.000 0.937 x2
O 0.250 0.500 0.177 x2
O 0.250 0.500 0.566 x2
O 0.250 0.500 0.847 x2

=====

Compound: Nb2PbO
Source: the Alexandria database
Functional: PBEsol
Structure: optimized geometry

Results
DOS at the Fermi energy: 0.539 states/eV per atom
V: 16.50 A^3/atom
DFT total energy: -119.26 eV for the cell shown

abc: 6.416 6.416 6.416
angles: 90.00 90.00 90.00
Space group Fm-3m (No. 225)
Asymmetric unit:
Nb 0.250 0.250 0.250 x8
Pb 0.000 0.000 0.000 x4
O 0.000 0.000 0.500 x4

=====

Compound: Nb2Pb2Se4O15
Source: the Alexandria database
Functional: PBEsol
Structure: optimized geometry

Results
DOS at the Fermi energy: 0.000 states/eV per atom
V: 15.63 A^3/atom
DFT total energy: -626.04 eV for the cell shown

abc: 26.760 6.998 7.695
angles: 90.00 93.90 90.00
Space group C2/c (No. 15)
Asymmetric unit:
Nb 0.072 0.009 0.240 x8
Pb 0.204 0.386 0.310 x8
Se 0.081 0.432 0.516 x8
Se 0.188 0.109 0.940 x8
O 0.000 0.005 0.250 x4
O 0.075 0.275 0.691 x8
O 0.076 0.282 0.334 x8
O 0.077 0.074 0.011 x8
O 0.143 0.482 0.531 x8
O 0.149 0.007 0.281 x8
O 0.218 0.267 0.815 x8
O 0.234 0.067 0.454 x8

=====

What is the formula in the seventh record? Nb2Pb2O7